DFT (SCAN) results for SrLa2Al2 at its PBEsol-relaxed geometry.

Results
E (eV per atom): -24.913
D(E_F) (states/eV/f.u.): 5.6
M_tot (Bohr magnetons per cell): 0.00
Space-group type: I4/mmm, No. 139
Calculated formation energy (eV per atom): -0.115

Lattice parameters (Å, degrees): 7.671 7.671 7.671 143.77 143.77 52.18
Atoms (fractional coordinates):
Sr  0.000  0.000  0.000
La  0.250  0.750  0.500
La  0.750  0.250  0.500
Al  0.406  0.406  0.000
Al  0.594  0.594  0.000

DFT (SCAN) results for InGa3I at its PBEsol-relaxed geometry.

Results
E (eV per atom): -23.549
D(E_F) (states/eV/f.u.): 2.2
M_tot (Bohr magnetons per cell): 0.00
Space-group type: Pm-3m, No. 221
Uncorrected formation energy (meV/atom): 284

Lattice parameters (Å, degrees): 5.307 5.307 5.307 90.00 90.00 90.00
Atoms (fractional coordinates):
In  0.000  0.000  0.000
Ga  0.000  0.000  0.500
Ga  0.000  0.500  0.000
Ga  0.500  0.000  0.000
I  0.500  0.500  0.500

DFT (SCAN) results for Cu3BiW at its PBEsol-relaxed geometry.

Results
E (eV per atom): -37.305
D(E_F) (states/eV/f.u.): 4.6
M_tot (Bohr magnetons per cell): 0.00
Space-group type: Pm-3m, No. 221
Calculated formation energy (eV per atom): 1.468

Lattice parameters (Å, degrees): 4.657 4.657 4.657 90.00 90.00 90.00
Atoms (fractional coordinates):
Cu  0.000  0.000  0.500
Cu  0.000  0.500  0.000
Cu  0.500  0.000  0.000
Bi  0.500  0.500  0.500
W  0.000  0.000  0.000

DFT (SCAN) results for SrLa2Cl at its PBEsol-relaxed geometry.

Results
E (eV per atom): -29.475
D(E_F) (states/eV/f.u.): 5.1
M_tot (Bohr magnetons per cell): 0.00
Space-group type: Pmmm, No. 47
Uncorrected formation energy (meV/atom): -360

Lattice parameters (Å, degrees): 3.698 5.985 6.382 90.00 90.00 90.00
Atoms (fractional coordinates):
Sr  0.000  0.000  0.000
La  0.500  0.245  0.500
La  0.500  0.755  0.500
Cl  0.000  0.500  0.000

DFT (SCAN) results for NaPrTiNbO6F at its PBEsol-relaxed geometry.

Results
E (eV per atom): -15.727
D(E_F) (states/eV/f.u.): 0.0
M_tot (Bohr magnetons per cell): 0.00
Space-group type: Imma, No. 74
Uncorrected formation energy (meV/atom): -3216

Lattice parameters (Å, degrees): 7.299 7.299 7.299 121.14 117.88 90.88
Atoms (fractional coordinates):
Na  0.500  0.000  0.000
Na  0.500  0.500  0.500
Pr  0.000  0.000  0.000
Pr  0.500  0.000  0.500
Ti  0.000  0.000  0.500
Ti  0.000  0.500  0.000
Nb  0.000  0.500  0.500
Nb  0.500  0.500  0.000
O  0.063  0.418  0.234
O  0.063  0.828  0.645
O  0.078  0.828  0.250
O  0.316  0.172  0.734
O  0.316  0.582  0.145
O  0.317  0.567  0.750
O  0.683  0.433  0.250
O  0.684  0.418  0.855
O  0.684  0.828  0.266
O  0.922  0.172  0.750
O  0.937  0.172  0.355
O  0.937  0.582  0.766
F  0.380  0.130  0.250
F  0.620  0.870  0.750

DFT (SCAN) results for ZnNiAu2 at its PBEsol-relaxed geometry.

Results
E (eV per atom): -42.078
D(E_F) (states/eV/f.u.): 1.6
M_tot (Bohr magnetons per cell): 0.00
Space-group type: Pm, No. 6
Calculated formation energy (eV per atom): -0.077

Lattice parameters (Å, degrees): 2.799 4.081 5.240 90.00 105.41 90.00
Atoms (fractional coordinates):
Zn  0.000  0.000  0.000
Ni  0.862  0.500  0.738
Au  0.264  0.000  0.536
Au  0.604  0.500  0.210

DFT (SCAN) results for AgSbPt2 at its PBEsol-relaxed geometry.

Results
E (eV per atom): -52.083
D(E_F) (states/eV/f.u.): 1.9
M_tot (Bohr magnetons per cell): 0.00
Space-group type: R3m, No. 160
Uncorrected formation energy (meV/atom): 170

Lattice parameters (Å, degrees): 8.858 8.858 8.858 20.00 20.00 20.00
Atoms (fractional coordinates):
Ag  0.000  0.000  0.000
Sb  0.240  0.240  0.240
Pt  0.495  0.495  0.495
Pt  0.749  0.749  0.749

DFT (SCAN) results for Li2CuAg at its PBEsol-relaxed geometry.

Results
E (eV per atom): -12.894
D(E_F) (states/eV/f.u.): 1.2
M_tot (Bohr magnetons per cell): 0.00
Space-group type: Pmm2, No. 25
Calculated formation energy (eV per atom): -0.058

Lattice parameters (Å, degrees): 2.679 3.965 5.367 90.00 90.00 90.00
Atoms (fractional coordinates):
Li  0.000  0.000  0.000
Li  0.500  0.500  0.280
Cu  0.500  0.500  0.768
Ag  0.000  0.000  0.523

DFT (SCAN) results for Y2TlIn2 at its PBEsol-relaxed geometry.

Results
E (eV per atom): -39.515
D(E_F) (states/eV/f.u.): 2.6
M_tot (Bohr magnetons per cell): 0.00
Space-group type: P4/mbm, No. 127
Calculated formation energy (eV per atom): -0.551

Lattice parameters (Å, degrees): 7.552 7.552 4.554 90.00 90.00 90.00
Atoms (fractional coordinates):
Y  0.169  0.331  0.000
Y  0.331  0.831  0.000
Y  0.669  0.169  0.000
Y  0.831  0.669  0.000
Tl  0.000  0.000  0.500
Tl  0.500  0.500  0.500
In  0.132  0.632  0.500
In  0.368  0.132  0.500
In  0.632  0.868  0.500
In  0.868  0.368  0.500

DFT (SCAN) results for MnCdRhI2 at its PBEsol-relaxed geometry.

Results
E (eV per atom): -30.108
D(E_F) (states/eV/f.u.): 4.9
M_tot (Bohr magnetons per cell): 6.45
Space-group type: P4/mmm, No. 123
Uncorrected formation energy (meV/atom): 1077

Lattice parameters (Å, degrees): 5.659 5.659 5.045 90.00 90.00 90.00
Atoms (fractional coordinates):
Mn  0.000  0.000  0.000
Cd  0.000  0.000  0.500
Rh  0.500  0.500  0.000
I  0.000  0.500  0.500
I  0.500  0.000  0.500

DFT (SCAN) results for TcPb3 at its PBEsol-relaxed geometry.

Results
E (eV per atom): -64.889
D(E_F) (states/eV/f.u.): 2.2
M_tot (Bohr magnetons per cell): 3.26
Space-group type: Pm-3m, No. 221
Calculated formation energy (eV per atom): 0.712

Lattice parameters (Å, degrees): 4.618 4.618 4.618 90.00 90.00 90.00
Atoms (fractional coordinates):
Tc  0.000  0.000  0.000
Pb  0.000  0.500  0.500
Pb  0.500  0.000  0.500
Pb  0.500  0.500  0.000

DFT (SCAN) results for LiMg2CuAg at its PBEsol-relaxed geometry.

Results
E (eV per atom): -11.285
D(E_F) (states/eV/f.u.): 2.0
M_tot (Bohr magnetons per cell): 0.00
Space-group type: P4/mmm, No. 123
Calculated formation energy (eV per atom): 0.496

Lattice parameters (Å, degrees): 4.734 4.734 4.040 90.00 90.00 90.00
Atoms (fractional coordinates):
Li  0.000  0.000  0.000
Mg  0.000  0.500  0.000
Mg  0.500  0.000  0.000
Cu  0.000  0.000  0.500
Ag  0.500  0.500  0.500

DFT (SCAN) results for Na3VSi4H2O12 at its PBEsol-relaxed geometry.

Results
E (eV per atom): -9.469
M_tot (Bohr magnetons per cell): 4.00
Space-group type: P-1, No. 2

Lattice parameters (Å, degrees): 7.506 8.711 9.034 62.56 83.66 88.22
Atoms (fractional coordinates):
Na  0.134  0.102  0.176
Na  0.162  0.655  0.574
Na  0.353  0.762  0.874
Na  0.647  0.238  0.126
Na  0.838  0.345  0.426
Na  0.866  0.898  0.824
V  0.000  0.500  0.000
V  0.500  0.000  0.000
Si  0.102  0.754  0.170
Si  0.236  0.411  0.304
Si  0.280  0.209  0.680
Si  0.384  0.406  0.847
Si  0.616  0.594  0.153
Si  0.720  0.791  0.320
Si  0.764  0.589  0.696
Si  0.898  0.246  0.830
H  0.301  0.032  0.459
H  0.406  0.940  0.357
H  0.594  0.060  0.643
H  0.699  0.968  0.541
O  0.055  0.712  0.022
O  0.069  0.161  0.762
O  0.100  0.342  0.222
O  0.141  0.568  0.340
O  0.232  0.534  0.865
O  0.270  0.884  0.116
O  0.280  0.248  0.484
O  0.292  0.936  0.431
O  0.343  0.390  0.677
O  0.399  0.217  0.001
O  0.413  0.053  0.769
O  0.427  0.484  0.190
O  0.573  0.516  0.810
O  0.587  0.947  0.231
O  0.601  0.783  0.999
O  0.657  0.610  0.323
O  0.708  0.064  0.569
O  0.720  0.752  0.516
O  0.730  0.116  0.884
O  0.768  0.466  0.135
O  0.859  0.432  0.660
O  0.900  0.658  0.778
O  0.931  0.839  0.238
O  0.945  0.288  0.978

DFT (SCAN) results for ZrAg3 at its PBEsol-relaxed geometry.

Results
E (eV per atom): -31.219
D(E_F) (states/eV/f.u.): 3.1
M_tot (Bohr magnetons per cell): 0.00
Space-group type: Fm-3m, No. 225
Calculated formation energy (eV per atom): -0.019

Lattice parameters (Å, degrees): 4.645 4.645 4.645 60.00 60.00 60.00
Atoms (fractional coordinates):
Zr  0.000  0.000  0.000
Ag  0.250  0.250  0.250
Ag  0.500  0.500  0.500
Ag  0.750  0.750  0.750

DFT (SCAN) results for KRbOsO2 at its PBEsol-relaxed geometry.

Results
E (eV per atom): -21.313
D(E_F) (states/eV/f.u.): 5.1
M_tot (Bohr magnetons per cell): 6.00
Space-group type: P4/mmm, No. 123
Uncorrected formation energy (meV/atom): 1369

Lattice parameters (Å, degrees): 4.833 4.833 5.560 90.00 90.00 90.00
Atoms (fractional coordinates):
K  0.000  0.000  0.000
Rb  0.000  0.000  0.500
Os  0.500  0.500  0.500
O  0.000  0.500  0.000
O  0.500  0.000  0.000

DFT (SCAN) results for Re2SeCl at its PBEsol-relaxed geometry.

Results
E (eV per atom): -41.986
D(E_F) (states/eV/f.u.): 3.7
M_tot (Bohr magnetons per cell): 0.00
Space-group type: Cmm2, No. 35
Uncorrected formation energy (meV/atom): 577

Lattice parameters (Å, degrees): 2.889 2.889 9.426 90.00 90.00 120.14
Atoms (fractional coordinates):
Re  0.000  0.000  0.000
Re  0.500  0.500  0.227
Se  0.000  0.000  0.457
Cl  0.500  0.500  0.787

DFT (SCAN) results for BaGaS3 at its PBEsol-relaxed geometry.

Results
E (eV per atom): -16.707
D(E_F) (states/eV/f.u.): 4.7
M_tot (Bohr magnetons per cell): 3.00
Space-group type: Pm-3m, No. 221
Uncorrected formation energy (meV/atom): 249

Lattice parameters (Å, degrees): 5.786 5.786 5.786 90.00 90.00 90.00
Atoms (fractional coordinates):
Ba  0.000  0.000  0.000
Ga  0.500  0.500  0.500
S  0.000  0.000  0.500
S  0.000  0.500  0.000
S  0.500  0.000  0.000

DFT (SCAN) results for Sr7Cu2HgBiSbO15 at its PBEsol-relaxed geometry.

Results
E (eV per atom): -19.347
D(E_F) (states/eV/f.u.): 2.5
M_tot (Bohr magnetons per cell): 1.82
Space-group type: Pmma, No. 51
Uncorrected formation energy (meV/atom): -2170

Lattice parameters (Å, degrees): 7.603 8.834 11.543 90.00 90.00 90.00
Atoms (fractional coordinates):
Sr  0.000  0.208  0.000
Sr  0.000  0.792  0.000
Sr  0.008  0.210  0.342
Sr  0.008  0.790  0.342
Sr  0.250  0.500  0.837
Sr  0.492  0.210  0.342
Sr  0.492  0.790  0.342
Sr  0.500  0.208  0.000
Sr  0.500  0.792  0.000
Sr  0.508  0.210  0.658
Sr  0.508  0.790  0.658
Sr  0.750  0.500  0.163
Sr  0.992  0.210  0.658
Sr  0.992  0.790  0.658
Cu  0.250  0.000  0.171
Cu  0.250  0.000  0.498
Cu  0.750  0.000  0.502
Cu  0.750  0.000  0.829
Hg  0.250  0.500  0.498
Hg  0.750  0.500  0.502
Bi  0.250  0.500  0.167
Bi  0.750  0.500  0.833
Sb  0.250  0.000  0.830
Sb  0.750  0.000  0.170
O  0.000  0.000  0.500
O  0.000  0.500  0.000
O  0.007  0.000  0.168
O  0.032  0.500  0.283
O  0.250  0.000  0.000
O  0.250  0.000  0.337
O  0.250  0.000  0.662
O  0.250  0.228  0.831
O  0.250  0.258  0.157
O  0.250  0.272  0.503
O  0.250  0.728  0.503
O  0.250  0.742  0.157
O  0.250  0.772  0.831
O  0.468  0.500  0.283
O  0.493  0.000  0.168
O  0.500  0.000  0.500
O  0.500  0.500  0.000
O  0.507  0.000  0.832
O  0.532  0.500  0.717
O  0.750  0.000  0.000
O  0.750  0.000  0.338
O  0.750  0.000  0.663
O  0.750  0.228  0.169
O  0.750  0.258  0.843
O  0.750  0.272  0.497
O  0.750  0.728  0.497
O  0.750  0.742  0.843
O  0.750  0.772  0.169
O  0.968  0.500  0.717
O  0.993  0.000  0.832

DFT (SCAN) results for YPdSCl2 at its PBEsol-relaxed geometry.

Results
E (eV per atom): -18.257
D(E_F) (states/eV/f.u.): 1.0
M_tot (Bohr magnetons per cell): 1.01
Space-group type: P4/mmm, No. 123
Uncorrected formation energy (meV/atom): -1017

Lattice parameters (Å, degrees): 5.079 5.079 5.271 90.00 90.00 90.00
Atoms (fractional coordinates):
Y  0.000  0.000  0.000
Pd  0.500  0.500  0.500
S  0.000  0.000  0.500
Cl  0.000  0.500  0.000
Cl  0.500  0.000  0.000

DFT (SCAN) results for Zr2SiHg at its PBEsol-relaxed geometry.

Results
E (eV per atom): -35.319
D(E_F) (states/eV/f.u.): 1.9
M_tot (Bohr magnetons per cell): 0.00
Space-group type: Cmmm, No. 65
Uncorrected formation energy (meV/atom): -425

Lattice parameters (Å, degrees): 5.060 5.060 3.059 90.00 90.00 105.32
Atoms (fractional coordinates):
Zr  0.000  0.500  0.000
Zr  0.500  0.000  0.000
Si  0.000  0.000  0.500
Hg  0.500  0.500  0.500